10
Lattice="-0.840 3.289 -0.454 -3.758 -1.611 -4.715 -4.366 -0.232 6.408" Properties=species:S:1:pos:R:3 comment="Sc3HN (PBE-GGA, relaxed)" space_group="P2_1/m (11)" energy_ev_per_atom=-6.9430 polymorph_energy_mev_per_atom=93 dos_ef_per_ev_fu=2.83 pbc="T T T"
N -3.620 0.446 3.479
H -2.536 0.218 -0.188
Sc -5.091 -0.114 2.145
Sc -3.773 1.175 -3.877
Sc -2.072 0.617 1.847
Sc -6.892 0.829 -0.608
Sc -3.873 1.560 -0.905
N -5.344 1.000 -2.240
H -6.428 1.228 1.427
Sc -5.191 0.271 5.117

***

15
Lattice="-3.718 3.090 -5.087 3.492 -5.944 -1.322 -6.452 -0.607 4.346" Properties=species:S:1:pos:R:3 comment="Na3Cr3SiS8 (PBE-GGA, relaxed)" raw_formation_energy_mev_per_atom=-884 space_group="R-3m (166)" energy_ev_per_atom=-5.6351 dos_ef_per_ev_fu=1.91 pbc="T T T"
Si -3.226 -0.304 2.173
S -1.085 -2.541 -0.750
Na -0.113 -1.427 -3.205
Cr -1.480 -3.276 1.512
S -2.950 -1.061 -3.329
Na 1.746 -2.972 -0.661
S -5.592 -0.920 -1.313
Na 0.000 0.000 0.000
S -3.728 -2.401 1.266
S -3.844 -3.875 -2.045
S -1.924 -5.471 0.583
S -4.754 2.009 -2.646
Cr -5.085 1.241 -0.371
Cr -3.339 -1.731 -1.032
S -2.834 0.413 -0.018

***

5
Lattice="5.272 0.000 0.000 0.000 4.271 0.000 0.000 0.000 5.272" Properties=species:S:1:pos:R:3 comment="La2CdCF (PBE-GGA, relaxed)" raw_formation_energy_mev_per_atom=-471 space_group="P4/mmm (123)" energy_ev_per_atom=-4.8437 dos_ef_per_ev_fu=5.41 pbc="T T T"
La 2.636 0.000 0.000
C 0.000 0.000 0.000
F 2.636 2.135 2.636
La 0.000 0.000 2.636
Cd 0.000 2.135 0.000

***

4
Lattice="4.801 0.000 0.000 2.400 4.157 0.000 2.400 1.386 3.920" Properties=species:S:1:pos:R:3 comment="TbMgIrAu (PBE-GGA, relaxed)" delta_e_f_ev_per_atom=-0.61 space_group="F-43m (216)" energy_ev_per_atom=-5.1970 dos_ef_per_ev_fu=2.89 pbc="T T T"
Mg 2.400 1.386 0.980
Au 0.000 0.000 0.000
Ir 4.801 2.772 1.960
Tb 7.201 4.157 2.940

***

4
Lattice="0.000 3.240 3.240 3.240 0.000 3.240 3.240 3.240 0.000" Properties=species:S:1:pos:R:3 comment="NbReAg2 (PBE-GGA, relaxed)" delta_e_f_ev_per_atom=0.87 space_group="Fm-3m (225)" energy_ev_per_atom=-6.1897 dos_ef_per_ev_fu=6.91 pbc="T T T"
Nb 0.000 0.000 0.000
Ag 1.620 1.620 1.620
Re 3.240 3.240 3.240
Ag 4.860 4.860 4.860

***

8
Lattice="-2.296 3.600 0.339 -6.032 -4.003 1.649 3.849 1.764 7.325" Properties=species:S:1:pos:R:3 comment="Cs2AcErS4 (PBE-GGA, relaxed)" raw_formation_energy_mev_per_atom=-1825 space_group="P2/m (10)" energy_ev_per_atom=-5.1861 dos_ef_per_ev_fu=0.00 pbc="T T T"
Cs -1.092 -1.119 4.487
S -1.711 1.282 1.848
Cs 0.776 2.682 3.832
S -2.768 0.079 7.465
S -3.801 -2.671 2.618
S 1.618 0.433 6.355
Er 0.000 0.000 0.000
Ac -4.164 -0.202 0.994